1.
Ta2AlNi: relaxed, PBEsol.

```
data_Ta2AlNi
_chemical_formula_sum 'Ta2 Al1 Ni1'
_cell_length_a 2.821
_cell_length_b 2.821
_cell_length_c 9.111
_cell_angle_alpha 81.10
_cell_angle_beta 81.10
_cell_angle_gamma 60.00
_symmetry_space_group_name_H-M 'P 1'
_symmetry_Int_Tables_number 1
loop_
_symmetry_equiv_pos_as_xyz
'x,y,z'
loop_
_atom_site_label
_atom_site_fract_x
_atom_site_fract_y
_atom_site_fract_z
Ta1 0.753 0.753 0.741
Ta2 0.991 0.991 0.026
Al1 0.509 0.509 0.473
Ni1 0.246 0.246 0.261
```

E_form, eV/atom: -0.010
Space-group type: R3m (160)

---

2.
TaAl2Ni: relaxed, PBEsol.

```
data_TaAl2Ni
_chemical_formula_sum 'Ta1 Al2 Ni1'
_cell_length_a 2.830
_cell_length_b 2.830
_cell_length_c 6.976
_cell_angle_alpha 90.00
_cell_angle_beta 90.00
_cell_angle_gamma 90.00
_symmetry_space_group_name_H-M 'P 1'
_symmetry_Int_Tables_number 1
loop_
_symmetry_equiv_pos_as_xyz
'x,y,z'
loop_
_atom_site_label
_atom_site_fract_x
_atom_site_fract_y
_atom_site_fract_z
Ta1 0.500 0.500 0.500
Al1 0.000 0.000 0.208
Al2 0.000 0.000 0.792
Ni1 0.500 0.500 0.000
```

E_form, eV/atom: -0.463
Space-group type: P4/mmm (123)

---

3.
Ta2AlNi: relaxed, PBEsol.

```
data_Ta2AlNi
_chemical_formula_sum 'Ta2 Al1 Ni1'
_cell_length_a 2.802
_cell_length_b 2.802
_cell_length_c 7.598
_cell_angle_alpha 90.00
_cell_angle_beta 90.00
_cell_angle_gamma 90.00
_symmetry_space_group_name_H-M 'P 1'
_symmetry_Int_Tables_number 1
loop_
_symmetry_equiv_pos_as_xyz
'x,y,z'
loop_
_atom_site_label
_atom_site_fract_x
_atom_site_fract_y
_atom_site_fract_z
Ta1 0.000 0.000 0.964
Ta2 0.500 0.500 0.271
Ni1 0.500 0.500 0.727
Al1 0.000 0.000 0.538
```

E_form, eV/atom: -0.281
Space-group type: P4mm (99)

---

4.
TaAl2Ni: relaxed, PBEsol.

```
data_TaAl2Ni
_chemical_formula_sum 'Ta1 Al2 Ni1'
_cell_length_a 2.959
_cell_length_b 2.959
_cell_length_c 6.520
_cell_angle_alpha 90.00
_cell_angle_beta 90.00
_cell_angle_gamma 90.00
_symmetry_space_group_name_H-M 'P 1'
_symmetry_Int_Tables_number 1
loop_
_symmetry_equiv_pos_as_xyz
'x,y,z'
loop_
_atom_site_label
_atom_site_fract_x
_atom_site_fract_y
_atom_site_fract_z
Ni1 0.000 0.000 0.464
Al1 0.500 0.500 0.286
Al2 0.000 0.000 0.013
Ta1 0.500 0.500 0.737
```

E_form, eV/atom: -0.296
Space-group type: P4mm (99)

---

5.
Ta3AlNi: relaxed, PBEsol.

```
data_Ta3AlNi
_chemical_formula_sum 'Ta3 Al1 Ni1'
_cell_length_a 4.589
_cell_length_b 4.589
_cell_length_c 4.589
_cell_angle_alpha 90.00
_cell_angle_beta 90.00
_cell_angle_gamma 90.00
_symmetry_space_group_name_H-M 'P 1'
_symmetry_Int_Tables_number 1
loop_
_symmetry_equiv_pos_as_xyz
'x,y,z'
loop_
_atom_site_label
_atom_site_fract_x
_atom_site_fract_y
_atom_site_fract_z
Ta1 0.000 0.500 0.000
Ta2 0.500 0.000 0.000
Ta3 0.000 0.000 0.500
Ni1 0.500 0.500 0.500
Al1 0.000 0.000 0.000
```

E_form, eV/atom: 1.655
Space-group type: Pm-3m (221)

---

6.
TbAlNi4: relaxed, PBEsol.

```
data_TbAlNi4
_chemical_formula_sum 'Tb1 Al1 Ni4'
_cell_length_a 3.815
_cell_length_b 4.984
_cell_length_c 4.984
_cell_angle_alpha 120.00
_cell_angle_beta 90.00
_cell_angle_gamma 90.00
_symmetry_space_group_name_H-M 'P 1'
_symmetry_Int_Tables_number 1
loop_
_symmetry_equiv_pos_as_xyz
'x,y,z'
loop_
_atom_site_label
_atom_site_fract_x
_atom_site_fract_y
_atom_site_fract_z
Tb1 0.000 0.333 0.667
Ni1 0.500 0.831 0.662
Ni2 0.500 0.831 0.169
Ni3 0.000 0.667 0.333
Ni4 0.500 0.338 0.169
Al1 0.000 0.000 0.000
```

E_form, eV/atom: -0.463
Space-group type: P-6m2 (187)